[1]
Density functional theory data (PBE) for a geometry-optimized Mg6GeAu3 structure.

## Properties
Total energy ... -2.82 eV/atom
Formation energy ... -0.4182 eV per atom

abc: 8.326 4.695 10.081
angles: 90.00 105.42 90.00
Space group P2_1/m (No. 11)
Symmetry-distinct sites (fractional):
Mg 0.041 0.250 0.409
Mg 0.137 0.750 0.186
Mg 0.245 0.250 0.989
Mg 0.329 0.750 0.798
Mg 0.354 0.250 0.302
Mg 0.415 0.250 0.604
Ge 0.441 0.750 0.113
Au 0.028 0.750 0.886
Au 0.133 0.250 0.700
Au 0.281 0.750 0.475

[2]
Density functional theory data (PBE) for a geometry-optimized Nd2Cd3In structure.

## Properties
Total energy ... -2.89 eV/atom
Formation energy ... -0.3898 eV per atom

abc: 7.253 10.059 17.437
angles: 90.00 90.00 90.00
Space group Fmmm (No. 69)
Symmetry-distinct sites (fractional):
Nd 0.247 0.000 0.000
Nd 0.250 0.250 0.250
Cd 0.000 0.000 0.166
Cd 0.000 0.250 0.083
In 0.000 0.000 0.334